# K2RhBr

An optimized crystal structure of K2RhBr (PBE-GGA, Alexandria via LeMat-Bulk).

Results
- N(E_F) (states/eV/cell) = 4.46
- formation energy without anion corrections (eV/f.u.) = -0.68
- raw total energy (eV for the cell shown) = -11.9
- relative energy among the computed polymorphs (meV per atom) = 0

abc: 3.5919 3.6088 9.7092
angles: 68.14 90.00 90.00
Closest atoms and distances in Å follow each position.
Element x y z (fractional)
1 K 0.0000 0.0188 0.9816  4 Br 3.29, 4 Rh 3.51, 4 K 3.59-3.61
2 K 0.0000 0.4812 0.5184  4 Br 3.29, 4 Rh 3.51, 4 K 3.59-3.61
3 Br 0.5000 0.7500 0.7500  8 K 3.29, 4 Br 3.59-3.61
4 Rh 0.5000 0.2500 0.2500  8 K 3.51, 4 Rh 3.59-3.61

# Pr4Er5In

An optimized crystal structure of Pr4Er5In (PBE-GGA, Alexandria via LeMat-Bulk).

Results
- N(E_F) (states/eV/cell) = 11.97
- formation energy from the elements (kcal/mol of atoms) = -1.33
- raw total energy (eV for the cell shown) = -45.2
- relative energy among the computed polymorphs (meV per atom) = 0

abc: 3.6235 4.8756 17.8642
angles: 90.00 90.00 90.00
Closest atoms and distances in Å follow each position.
Element x y z (fractional)
1 In 0.0000 0.0000 0.0000  8 Er 3.43, 2 Pr 3.51, 2 In 3.62
2 Pr 0.0000 0.0000 0.3963  8 Er 3.56, 4 Pr 3.57-3.71
3 Pr 0.0000 0.0000 0.8033  8 Er 3.48-3.59, 1 In 3.51, 3 Pr 3.57-3.62
4 Pr 0.0000 0.0000 0.1967  8 Er 3.48-3.59, 1 In 3.51, 3 Pr 3.57-3.62
5 Pr 0.0000 0.0000 0.6037  8 Er 3.56, 4 Pr 3.57-3.71
6 Er 0.5000 0.5000 0.2920  8 Pr 3.48-3.56, 4 Er 3.62-3.72
7 Er 0.5000 0.5000 0.9105  1 Er 3.20, 4 In 3.43
8 Er 0.5000 0.5000 0.0895  1 Er 3.20, 4 In 3.43
9 Er 0.5000 0.5000 0.5000  8 Pr 3.56, 4 Er 3.62-3.72
10 Er 0.5000 0.5000 0.7080  8 Pr 3.48-3.56, 4 Er 3.62-3.72

# LiRhCN2

An optimized crystal structure of LiRhCN2 (PBE-GGA, Alexandria via LeMat-Bulk).

Results
- N(E_F) (states/eV/cell) = 3.00
- formation energy without anion corrections (eV/f.u.) = 9.78
- raw total energy (eV for the cell shown) = -25.4

abc: 3.7447 5.3443 3.7447
angles: 90.00 90.00 90.00
Closest atoms and distances in Å follow each position.
Element x y z (fractional)
1 Rh 0.0000 0.0000 0.0000  4 N 1.87
2 N 0.0000 0.0000 0.5000  2 Rh 1.87
3 N 0.5000 0.0000 0.0000  2 Rh 1.87
4 C 0.5000 0.5000 0.5000  4 Li 2.65
5 Li 0.0000 0.5000 0.0000  4 C 2.65, 2 Rh 2.67

# SiSe

An optimized crystal structure of SiSe (PBE-GGA, Alexandria via LeMat-Bulk).

Results
- N(E_F) (states/eV/cell) = 2.87
- formation energy without anion corrections (eV/f.u.) = 0.83
- raw total energy (eV for the cell shown) = -16.2

abc: 7.4556 7.4556 7.4556
angles: 151.79 151.79 40.32
Closest atoms and distances in Å follow each position.
Element x y z (fractional)
1 Si 0.7500 0.2500 0.5000  4 Se 2.57
2 Si 0.5000 0.5000 0.0000  4 Se 2.57
3 Se 0.0000 0.0000 0.0000  4 Si 2.57
4 Se 0.2500 0.7500 0.5000  4 Si 2.57